Entry 1:
The following is a GGA-PBE calculation of a relaxed TlNi2Br crystal, from Alexandria.

Results
* ΔE_f (raw): 0.39 eV per atom
* Fermi-level density of states: 1.124 states/eV/atom
* offset from the most stable computed form: 288 meV/atom

```
4
Lattice="7.391 -0.007 -0.004 6.603 3.321 -0.004 6.603 1.564 2.930" Properties=species:S:1:pos:R:3 pbc="T T T"
Br 15.449 3.658 2.191
Ni 10.267 2.431 1.456
Ni 0.032 0.007 0.004
Tl 5.150 1.219 0.730
```

---

Entry 2:
The following is a GGA-PBE calculation of a relaxed Ba2LiPaPd6 crystal, from Alexandria.

Results
* Fermi-level density of states: 0.108 states/eV/atom
* formation energy: -0.35 eV/atom

```
10
Lattice="-2.589 -4.537 4.600 3.856 -5.062 -2.821 4.297 -3.740 3.997" Properties=species:S:1:pos:R:3 pbc="T T T"
Pd 5.265 -11.073 5.355
Pd 2.335 -4.938 -1.069
Pd 2.568 -4.241 2.530
Pd -1.068 -4.661 2.848
Pd 2.996 -9.099 3.245
Pd 0.299 -2.266 0.420
Li 0.000 0.000 0.000
Pa 0.633 -4.800 0.889
Ba 4.393 -6.801 1.032
Ba 1.171 -6.538 4.743
```

---

Entry 3:
The following is a GGA-PBE calculation of a relaxed CaPr3Pt3 crystal, from Alexandria.

Results
* Fermi-level density of states: 0.696 states/eV/atom
* formation energy: -0.85 eV/atom

```
14
Lattice="7.088 1.133 0.331 -2.144 6.851 0.331 -0.339 -0.548 7.352" Properties=species:S:1:pos:R:3 pbc="T T T"
Pt 1.194 6.949 5.802
Pt 4.588 7.408 2.053
Pt -1.085 3.271 2.212
Pt 5.690 4.165 5.802
Pt 3.411 0.486 2.212
Pt 0.017 0.027 5.961
Pr 3.167 5.113 3.202
Pr 4.838 2.527 0.331
Pr 1.438 2.322 4.812
Pr 0.107 5.457 0.331
Pr -0.672 5.560 4.007
Pr 5.277 1.875 4.007
Ca 3.365 5.433 6.949
Ca 1.240 2.002 1.065
```

---

Entry 4:
The following is a GGA-PBE calculation of a relaxed Sc3GaO crystal, from Alexandria.

Results
* ΔE_f (raw): -0.10 eV per atom
* Fermi-level density of states: 1.070 states/eV/atom

```
10
Lattice="-2.298 -3.579 -2.122 -1.663 -1.432 4.216 -10.426 3.654 -0.193" Properties=species:S:1:pos:R:3 pbc="T T T"
O -8.967 -0.037 -0.871
O -5.738 -2.392 -0.397
Sc -8.660 1.748 1.109
Sc -9.105 -1.259 1.339
Sc -5.283 -0.097 0.562
Sc -4.355 -0.696 3.404
Sc -5.579 -2.603 2.274
Sc -9.546 0.985 3.355
Ga 0.000 0.000 0.000
Ga -7.035 -0.141 2.535
```

---

Entry 5:
The following is a GGA-PBE calculation of a relaxed LiMnRu crystal, from Alexandria.

Results
* Fermi-level density of states: 0.848 states/eV/atom
* formation energy: 0.24 eV/atom
* offset from the most stable computed form: 96 meV/atom

```
3
Lattice="-0.025 -0.993 -4.394 1.902 -3.814 -1.460 -3.077 1.708 2.813" Properties=species:S:1:pos:R:3 pbc="T T T"
Ru 1.263 -3.236 -3.941
Mn 0.614 -1.572 -1.914
Li 1.877 -4.806 -5.854
```

---

Entry 6:
The following is a GGA-PBE calculation of a relaxed BaReO4F crystal, from Alexandria.

Results
* ΔE_f (raw): -2.37 eV per atom
* Fermi-level density of states: 0.000 states/eV/atom

```
14
Lattice="6.777 -0.372 -0.018 1.894 6.518 -0.018 1.740 1.233 7.457" Properties=species:S:1:pos:R:3 pbc="T T T"
O 6.637 6.446 6.225
O 2.130 3.252 1.197
O 8.281 4.127 6.225
O 4.940 3.501 1.666
O 5.472 3.878 5.756
O 3.774 0.933 1.197
O 3.291 2.333 3.674
O 7.120 5.046 3.747
Re 6.878 4.875 5.468
Re 3.533 2.504 1.953
Ba 3.199 2.267 6.512
Ba 7.212 5.112 0.910
F 0.546 0.387 1.281
F 9.866 6.992 6.140
```

---

Please write out number 5 again, unchanged.
The following is a GGA-PBE calculation of a relaxed LiMnRu crystal, from Alexandria.

Results
* Fermi-level density of states: 0.848 states/eV/atom
* formation energy: 0.24 eV/atom
* offset from the most stable computed form: 96 meV/atom

```
3
Lattice="-0.025 -0.993 -4.394 1.902 -3.814 -1.460 -3.077 1.708 2.813" Properties=species:S:1:pos:R:3 pbc="T T T"
Ru 1.263 -3.236 -3.941
Mn 0.614 -1.572 -1.914
Li 1.877 -4.806 -5.854
```

---

Q: Which formula does entry 1 have?
A: TlNi2Br